VASP calculation (SCAN) on a PBEsol-optimized structure of Cd2ReBiBr.

Computed properties:
Formation energy without anion corrections: 1.210 eV/atom

Cell lengths 5.2621, 5.6895, 5.6895 Å; angles 90.00, 90.00, 90.00 degrees
Site moments in Bohr magnetons follow the coordinates.
Element x y z (fractional)
Re1 0.5000 0.0000 0.0000  2.78
Br1 0.5000 0.5000 0.5000  0.08
Cd1 0.0000 0.0000 0.5000  0.00
Cd2 0.0000 0.5000 0.0000  0.00
Bi1 0.0000 0.0000 0.0000  -0.02



VASP calculation (SCAN) on a PBEsol-optimized structure of ZnCd2BiBr.

Computed properties:
Formation energy without anion corrections: 0.305 eV/atom

Cell lengths 5.7405, 5.8420, 5.8420 Å; angles 90.00, 90.00, 90.00 degrees
Element x y z (fractional)
Bi1 0.0000 0.0000 0.0000
Br1 0.5000 0.0000 0.0000
Cd1 0.0000 0.0000 0.5000
Cd2 0.0000 0.5000 0.0000
Zn1 0.5000 0.5000 0.5000



VASP calculation (SCAN) on a PBEsol-optimized structure of Bi2BrClO2.

Computed properties:
Formation energy without anion corrections: -1.170 eV/atom

Cell lengths 3.8913, 3.8913, 7.7562 Å; angles 90.00, 90.00, 90.00 degrees
Element x y z (fractional)
Br1 0.0000 0.0000 0.6444
Bi1 0.0000 0.0000 0.1679
Bi2 0.5000 0.5000 0.8428
O1 0.0000 0.5000 0.0047
O2 0.5000 0.0000 0.0047
Cl1 0.5000 0.5000 0.3355



VASP calculation (SCAN) on a PBEsol-optimized structure of BiSBrCl2.

Computed properties:
Formation energy without anion corrections: 0.575 eV/atom

Cell lengths 5.0279, 5.0279, 5.0386 Å; angles 90.00, 90.00, 90.00 degrees
Element x y z (fractional)
Cl1 0.0000 0.5000 0.0000
Cl2 0.5000 0.0000 0.0000
Bi1 0.5000 0.5000 0.5000
S1 0.0000 0.0000 0.5000
Br1 0.0000 0.0000 0.0000



VASP calculation (SCAN) on a PBEsol-optimized structure of Cr2InBiBr.

Computed properties:
Formation energy without anion corrections: 0.439 eV/atom

Cell lengths 5.3081, 5.3081, 5.9899 Å; angles 90.00, 90.00, 90.00 degrees
Site moments in Bohr magnetons follow the coordinates.
Element x y z (fractional)
In1 0.0000 0.0000 0.5000  0.03
Br1 0.5000 0.5000 0.5000  0.06
Cr1 0.5000 0.0000 0.0000  4.25
Cr2 0.0000 0.5000 0.0000  4.25
Bi1 0.0000 0.0000 0.0000  -0.09



VASP calculation (SCAN) on a PBEsol-optimized structure of CrBiP2Br.

Computed properties:
Formation energy without anion corrections: 1.094 eV/atom

Cell lengths 4.6375, 4.9884, 4.9884 Å; angles 90.00, 90.00, 90.00 degrees
Site moments in Bohr magnetons follow the coordinates.
Element x y z (fractional)
Bi1 0.5000 0.5000 0.5000  -0.04
Cr1 0.5000 0.0000 0.0000  4.04
Br1 0.0000 0.0000 0.0000  0.00
P1 0.0000 0.0000 0.5000  0.02
P2 0.0000 0.5000 0.0000  0.02



VASP calculation (SCAN) on a PBEsol-optimized structure of Cs3Bi2Br9.

Computed properties:
Formation energy without anion corrections: -1.337 eV/atom

Cell lengths 7.9139, 7.9139, 9.7978 Å; angles 90.00, 90.00, 120.00 degrees
Element x y z (fractional)
Bi1 0.6667 0.3333 0.1902
Bi2 0.3333 0.6667 0.8098
Br1 0.5000 0.0000 0.0000
Br2 0.1650 0.3301 0.6600
Br3 0.8350 0.1650 0.3400
Br4 0.0000 0.5000 0.0000
Br5 0.6699 0.8350 0.6600
Br6 0.3301 0.1650 0.3400
Br7 0.1650 0.8350 0.6600
Br8 0.5000 0.5000 0.0000
Br9 0.8350 0.6699 0.3400
Cs1 0.3333 0.6667 0.3398
Cs2 0.6667 0.3333 0.6602
Cs3 0.0000 0.0000 0.0000



VASP calculation (SCAN) on a PBEsol-optimized structure of Cs2CuBiBr6.

Computed properties:
Formation energy without anion corrections: -1.186 eV/atom

Cell lengths 7.7048, 7.7048, 7.7048 Å; angles 60.00, 60.00, 60.00 degrees
Element x y z (fractional)
Cu1 0.5000 0.5000 0.5000
Br1 0.7378 0.2622 0.7378
Br2 0.7378 0.2622 0.2622
Br3 0.7378 0.7378 0.2622
Br4 0.2622 0.7378 0.2622
Br5 0.2622 0.7378 0.7378
Br6 0.2622 0.2622 0.7378
Cs1 0.7500 0.7500 0.7500
Cs2 0.2500 0.2500 0.2500
Bi1 0.0000 0.0000 0.0000



VASP calculation (SCAN) on a PBEsol-optimized structure of Cs2InBiBr6.

Computed properties:
Formation energy without anion corrections: -1.272 eV/atom

Cell lengths 8.2270, 8.2270, 8.2270 Å; angles 60.00, 60.00, 60.00 degrees
Element x y z (fractional)
Cs1 0.7500 0.7500 0.7500
Cs2 0.2500 0.2500 0.2500
Br1 0.2450 0.7550 0.2450
Br2 0.7550 0.2450 0.2450
Br3 0.2450 0.7550 0.7550
Br4 0.2450 0.2450 0.7550
Br5 0.7550 0.2450 0.7550
Br6 0.7550 0.7550 0.2450
In1 0.5000 0.5000 0.5000
Bi1 0.0000 0.0000 0.0000



VASP calculation (SCAN) on a PBEsol-optimized structure of Cs2KBiBr6.

Computed properties:
Formation energy without anion corrections: -1.501 eV/atom

Cell lengths 8.3362, 8.3362, 8.3362 Å; angles 60.00, 60.00, 60.00 degrees
Element x y z (fractional)
Bi1 0.0000 0.0000 0.0000
Br1 0.2397 0.7603 0.2397
Br2 0.2397 0.7603 0.7603
Br3 0.7603 0.7603 0.2397
Br4 0.7603 0.2397 0.7603
Br5 0.7603 0.2397 0.2397
Br6 0.2397 0.2397 0.7603
Cs1 0.2500 0.2500 0.2500
Cs2 0.7500 0.7500 0.7500
K1 0.5000 0.5000 0.5000



VASP calculation (SCAN) on a PBEsol-optimized structure of Cs2LiBiBr6.

Computed properties:
Formation energy without anion corrections: -1.477 eV/atom

Cell lengths 7.8136, 7.8136, 7.8136 Å; angles 60.00, 60.00, 60.00 degrees
Element x y z (fractional)
Br1 0.7439 0.2561 0.2561
Br2 0.2561 0.7439 0.2561
Br3 0.7439 0.2561 0.7439
Br4 0.2561 0.7439 0.7439
Br5 0.7439 0.7439 0.2561
Br6 0.2561 0.2561 0.7439
Cs1 0.7500 0.7500 0.7500
Cs2 0.2500 0.2500 0.2500
Bi1 0.0000 0.0000 0.0000
Li1 0.5000 0.5000 0.5000



VASP calculation (SCAN) on a PBEsol-optimized structure of Cs2NaBiBr6.

Computed properties:
Formation energy without anion corrections: -1.487 eV/atom

Cell lengths 8.0326, 8.0326, 8.0326 Å; angles 60.00, 60.00, 60.00 degrees
Element x y z (fractional)
Br1 0.7513 0.2487 0.2487
Br2 0.7513 0.7513 0.2487
Br3 0.7513 0.2487 0.7513
Br4 0.2487 0.7513 0.2487
Br5 0.2487 0.2487 0.7513
Br6 0.2487 0.7513 0.7513
Cs1 0.2500 0.2500 0.2500
Cs2 0.7500 0.7500 0.7500
Bi1 0.0000 0.0000 0.0000
Na1 0.5000 0.5000 0.5000